No. 1
A plane-wave DFT calculation with GGA-PBE was carried out for a relaxed structure of ScTiPRu2.

Unit cell a=4.3584 b=4.3584 c=4.6626 alpha=90.00 beta=90.00 gamma=90.00
Closest atoms and distances in Å follow each position.
Space group P4/mmm (No. 123)
Asymmetric unit:
1 Sc 0.0000 0.0000 0.0000 (multiplicity 1)  2 P 2.33
2 Ti 0.5000 0.5000 0.0000 (multiplicity 1)  4 Sc 3.08, 8 Ru 3.19
3 P 0.0000 0.0000 0.5000 (multiplicity 1)  4 Ru 2.18, 2 Sc 2.33
4 Ru 0.0000 0.5000 0.5000 (multiplicity 2)  2 P 2.18

Properties
ΔH_f (0 K): -0.01 eV per atom

No. 2
A plane-wave DFT calculation with GGA-PBE was carried out for a relaxed structure of Zr2ScPRu.

Unit cell a=4.9545 b=4.9545 c=4.9116 alpha=90.00 beta=90.00 gamma=90.00
Closest atoms and distances in Å follow each position.
Space group P4/mmm (No. 123)
Asymmetric unit:
1 Zr 0.0000 0.5000 0.0000 (multiplicity 2)  2 Ru 2.48
2 Sc 0.0000 0.0000 0.5000 (multiplicity 1)  2 Ru 2.46
3 P 0.5000 0.5000 0.5000 (multiplicity 1)  8 Zr 3.49, 4 Sc 3.50
4 Ru 0.0000 0.0000 0.0000 (multiplicity 1)  2 Sc 2.46, 4 Zr 2.48

Properties
ΔH_f (0 K): 0.22 eV per atom

No. 3
A plane-wave DFT calculation with GGA-PBE was carried out for a relaxed structure of PRuSe.

Unit cell a=5.9654 b=5.9804 c=6.0514 alpha=90.00 beta=112.11 gamma=90.00
Closest atoms and distances in Å follow each position.
Space group P2_1/c (No. 14)
Asymmetric unit:
1 P 0.1437 0.1297 0.3814 (multiplicity 4)  3 Ru 2.40-2.41, 1 Se 2.42
2 Ru 0.2640 0.0104 0.7905 (multiplicity 4)  3 P 2.40-2.41, 3 Se 2.45-2.46
3 Se 0.3340 0.6238 0.6932 (multiplicity 4)  1 P 2.42, 3 Ru 2.45-2.46

Properties
energy relative to the elements, uncorrected: -0.459 eV/atom

No. 4
A plane-wave DFT calculation with GGA-PBE was carried out for a relaxed structure of PRuSe.

Unit cell a=3.6269 b=5.7413 c=5.8248 alpha=65.35 beta=89.48 gamma=81.95
Closest atoms and distances in Å follow each position.
Space group P1 (No. 1)
Asymmetric unit:
1 P 0.0000 0.0000 0.0000 (multiplicity 1)  3 Ru 2.31-2.35
2 P 0.4625 0.1080 0.4413 (multiplicity 1)  3 Ru 2.33-2.45
3 Ru 0.4406 0.2702 0.9788 (multiplicity 1)  3 P 2.35-2.45, 3 Se 2.43-2.62
4 Ru 0.9121 0.2832 0.5774 (multiplicity 1)  3 P 2.31-2.39, 2 Se 2.50-2.55
5 Se 0.3710 0.6169 0.5535 (multiplicity 1)  3 Ru 2.43-2.67, 1 P 2.68
6 Se 0.8986 0.5226 0.0976 (multiplicity 1)  3 Ru 2.54-2.62, 1 P 2.64

Properties
energy relative to the elements, uncorrected: -0.208 eV/atom

No. 5
A plane-wave DFT calculation with GGA-PBE was carried out for a relaxed structure of PRu2Se.

Unit cell a=7.8109 b=3.0958 c=5.4189 alpha=90.00 beta=100.17 gamma=90.00
Closest atoms and distances in Å follow each position.
Space group Cm (No. 8)
Asymmetric unit:
1 P 0.0000 0.0000 0.0000 (multiplicity 2)  5 Ru 2.27-2.31
2 Ru 0.0319 0.5000 0.6946 (multiplicity 2)  2 P 2.31, 2 Se 2.59
3 Ru 0.2948 0.0000 0.0648 (multiplicity 2)  3 P 2.27-2.30
4 Se 0.2930 0.5000 0.4571 (multiplicity 2)  5 Ru 2.59-2.63

Properties
energy relative to the elements, uncorrected: -0.193 eV/atom

No. 6
A plane-wave DFT calculation with GGA-PBE was carried out for a relaxed structure of PRuSe.

Unit cell a=3.8594 b=5.1293 c=6.0937 alpha=66.14 beta=83.20 gamma=88.05
Closest atoms and distances in Å follow each position.
Space group P1 (No. 1)
Asymmetric unit:
1 P 0.0000 0.0000 0.0000 (multiplicity 1)  1 Se 2.37, 3 Ru 2.39-2.45
2 P 0.4169 0.0502 0.4909 (multiplicity 1)  3 Ru 2.33-2.35, 1 Se 2.37
3 Ru 0.5396 0.7950 0.8879 (multiplicity 1)  3 P 2.34-2.45, 3 Se 2.45-2.55
4 Ru 0.9324 0.8218 0.4401 (multiplicity 1)  3 P 2.33-2.44, 3 Se 2.47-2.58
5 Se 0.0426 0.5025 0.8555 (multiplicity 1)  1 P 2.37, 3 Ru 2.45-2.55
6 Se 0.4604 0.5542 0.3417 (multiplicity 1)  1 P 2.37, 3 Ru 2.52-2.58

Properties
energy relative to the elements, uncorrected: -0.257 eV/atom

No. 7
A plane-wave DFT calculation with GGA-PBE was carried out for a relaxed structure of PRuSe.

Unit cell a=3.6403 b=3.6403 c=5.5327 alpha=90.00 beta=90.00 gamma=120.00
Closest atoms and distances in Å follow each position.
Space group P3m1 (No. 156)
Asymmetric unit:
1 P 0.0000 0.0000 0.0000 (multiplicity 1)  3 Ru 2.25
2 Ru 0.6667 0.3333 0.1456 (multiplicity 1)  3 P 2.25
3 Se 0.3333 0.6667 0.4339 (multiplicity 1)  3 Ru 2.64

Properties
energy relative to the elements, uncorrected: -0.057 eV/atom

No. 8
A plane-wave DFT calculation with GGA-PBE was carried out for a relaxed structure of PRuSe.

Unit cell a=5.8733 b=5.8733 c=5.8733 alpha=90.00 beta=90.00 gamma=90.00
Closest atoms and distances in Å follow each position.
Space group F-43m (No. 216)
Asymmetric unit:
1 P 0.0000 0.0000 0.0000 (multiplicity 4)  4 Ru 2.54
2 Ru 0.2500 0.2500 0.2500 (multiplicity 4)  4 Se 2.54, 4 P 2.54
3 Se 0.0000 0.0000 0.5000 (multiplicity 4)  4 Ru 2.54

Properties
energy relative to the elements, uncorrected: -0.107 eV/atom

One value per record, in order, for total magnetization: 0.0, 0.0, 0.0, 0.0, 0.0, 0.0, 0.0, 0.0 μB/f.u..